(1)
SrErSe2, relaxed, DFT PBE; energy relative to the lowest polymorph listed for this composition = 66 meV/atom
1.0
4.1159 0.0000 0.0000
-2.0579 3.5644 0.0000
0.0000 0.0000 22.0549
Sr Er Se
3 3 6
Direct
0.0000 0.0000 0.0000
0.3333 0.6667 0.6667
0.6667 0.3333 0.3333
0.0000 0.0000 0.1741
0.3333 0.6667 0.8408
0.6667 0.3333 0.5075
0.0000 0.0000 0.5789
0.0000 0.0000 0.7632
0.3333 0.6667 0.2456
0.3333 0.6667 0.4299
0.6667 0.3333 0.0966
0.6667 0.3333 0.9122

(2)
The following is a DFT calculation (PBE) of Sr3ErSe4 after structural relaxation.

POSCAR file:
```
Sr3ErSe4
1.0
8.6946 0.0000 0.0000
0.0000 12.2340 0.0000
0.0000 0.0000 4.3069
Sr Er Se
6 2 8
Direct
0.0000 0.0000 0.0000
0.2500 0.2500 0.5000
0.2500 0.7500 0.5000
0.5000 0.5000 0.0000
0.7500 0.2500 0.5000
0.7500 0.7500 0.5000
0.0000 0.5000 0.0000
0.5000 0.0000 0.0000
0.0000 0.2606 0.0000
0.0000 0.7394 0.0000
0.2317 0.5000 0.5000
0.2683 0.0000 0.5000
0.5000 0.2394 0.0000
0.5000 0.7606 0.0000
0.7317 0.0000 0.5000
0.7683 0.5000 0.5000
```

(3)
SrEr2Se4, relaxed, DFT PBE; energy relative to the lowest polymorph listed for this composition = 0 meV/atom
1.0
12.5973 0.0000 0.0000
0.0000 4.1256 0.0000
0.0000 0.0000 14.9210
Sr Er Se
4 8 16
Direct
0.2398 0.2500 0.1661
0.2602 0.7500 0.6661
0.7398 0.2500 0.3339
0.7602 0.7500 0.8339
0.0615 0.2500 0.3893
0.0829 0.2500 0.9022
0.4171 0.7500 0.4022
0.4385 0.7500 0.8893
0.5615 0.2500 0.1107
0.5829 0.2500 0.5978
0.9171 0.7500 0.0978
0.9385 0.7500 0.6107
0.0277 0.7500 0.7845
0.0903 0.2500 0.5770
0.1288 0.7500 0.0302
0.2048 0.7500 0.3299
0.2952 0.2500 0.8299
0.3712 0.2500 0.5302
0.4097 0.7500 0.0770
0.4723 0.2500 0.2845
0.5277 0.7500 0.7155
0.5903 0.2500 0.9230
0.6288 0.7500 0.4698
0.7048 0.7500 0.1701
0.7952 0.2500 0.6701
0.8712 0.2500 0.9698
0.9097 0.7500 0.4230
0.9723 0.2500 0.2155

(4)
SrErSe2, relaxed, DFT PBE; energy relative to the lowest polymorph listed for this composition = 0 meV/atom
1.0
4.1787 0.0000 0.0000
-2.0893 3.6188 0.0000
0.0000 0.0000 21.0791
Sr Er Se
3 3 6
Direct
0.0000 0.0000 0.0000
0.3333 0.6667 0.6667
0.6667 0.3333 0.3333
0.0000 0.0000 0.5000
0.3333 0.6667 0.1667
0.6667 0.3333 0.8333
0.0000 0.0000 0.2424
0.0000 0.0000 0.7576
0.3333 0.6667 0.4242
0.3333 0.6667 0.9091
0.6667 0.3333 0.0909
0.6667 0.3333 0.5758

(5)
The following is a DFT calculation (PBE) of SrEr4Se6 after structural relaxation.

POSCAR file:
```
SrEr4Se6
1.0
2.0404 -6.6801 0.0000
2.0404 6.6801 0.0000
0.0000 0.0000 20.9485
Sr Er Se
2 8 12
Direct
0.1582 0.8418 0.7500
0.8418 0.1582 0.2500
0.0935 0.9065 0.1273
0.0935 0.9065 0.3727
0.3616 0.6384 0.0390
0.3616 0.6384 0.4610
0.6384 0.3616 0.5390
0.6384 0.3616 0.9610
0.9065 0.0935 0.6273
0.9065 0.0935 0.8727
0.0000 0.0000 0.0000
0.0000 0.0000 0.5000
0.1722 0.8278 0.2500
0.2686 0.7314 0.5866
0.2686 0.7314 0.9134
0.4563 0.5437 0.1597
0.4563 0.5437 0.3403
0.5437 0.4563 0.6597
0.5437 0.4563 0.8403
0.7314 0.2686 0.0866
0.7314 0.2686 0.4134
0.8278 0.1722 0.7500
```

(6)
The following is a DFT calculation (PBE) of SrTb4ErSe8 after structural relaxation.

POSCAR file:
```
SrTb4ErSe8
1.0
4.2766 2.4691 6.9571
-4.2766 2.4691 6.9571
0.0000 -4.9382 6.9571
Sr Tb Er Se
1 4 1 8
Direct
0.0000 0.0000 0.0000
0.1191 0.6264 0.6264
0.2492 0.2492 0.2492
0.6264 0.1191 0.6264
0.6264 0.6264 0.1191
0.6265 0.6265 0.6265
0.3819 0.3819 0.3819
0.3844 0.3844 0.8505
0.3844 0.8505 0.3844
0.4154 0.8592 0.8592
0.8505 0.3844 0.3844
0.8592 0.4154 0.8592
0.8592 0.8592 0.4154
0.8614 0.8614 0.8614
```

(7)
The following is a DFT calculation (PBE) of SrErTeSe after structural relaxation.

POSCAR file:
```
SrErTeSe
1.0
4.2190 0.0000 0.0000
-2.1095 3.6537 0.0000
0.0000 0.0000 23.0344
Sr Er Te Se
3 3 3 3
Direct
0.0000 0.0000 0.0000
0.3333 0.6667 0.6667
0.6667 0.3333 0.3333
0.0000 0.0000 0.1827
0.3333 0.6667 0.8494
0.6667 0.3333 0.5160
0.0000 0.0000 0.4320
0.3333 0.6667 0.0986
0.6667 0.3333 0.7653
0.0000 0.0000 0.5872
0.3333 0.6667 0.2539
0.6667 0.3333 0.9206
```

(8)
The following is a DFT calculation (PBE) of SrEr2Tl3Se6 after structural relaxation.

POSCAR file:
```
SrEr2Tl3Se6
1.0
3.7148 -6.4360 0.0000
3.7148 6.4360 0.0000
-2.5007 0.0000 7.4751
Sr Er Tl Se
1 2 3 6
Direct
0.0000 0.0000 0.0000
0.3311 0.6689 0.0000
0.6689 0.3311 0.0000
0.1610 0.8390 0.5000
0.5000 0.5000 0.5000
0.8390 0.1610 0.5000
0.0724 0.4300 0.2145
0.2895 0.2895 0.7933
0.4300 0.0724 0.2145
0.5700 0.9276 0.7855
0.7105 0.7105 0.2067
0.9276 0.5700 0.7855
```

(9)
The following is a DFT calculation (PBE) of SrErTm2Se4 after structural relaxation.

POSCAR file:
```
SrErTm2Se4
1.0
7.1326 0.0000 0.0000
0.0000 4.0890 0.0000
-2.3292 0.0000 6.7433
Sr Er Tm Se
1 1 2 4
Direct
0.0000 0.0000 0.0000
0.0000 0.5000 0.5000
0.5000 0.0000 0.5000
0.5000 0.5000 0.0000
0.2583 0.0000 0.7445
0.2653 0.5000 0.2639
0.7347 0.5000 0.7361
0.7417 0.0000 0.2555
```

(10)
The following is a DFT calculation (PBE) of SrEr2TmSe4 after structural relaxation.

POSCAR file:
```
SrEr2TmSe4
1.0
7.1415 0.0000 0.0000
0.0000 4.0951 0.0000
-2.3320 0.0000 6.7511
Sr Er Tm Se
1 2 1 4
Direct
0.0000 0.0000 0.0000
0.0000 0.5000 0.5000
0.5000 0.0000 0.5000
0.5000 0.5000 0.0000
0.2576 0.0000 0.7452
0.2642 0.5000 0.2627
0.7358 0.5000 0.7373
0.7424 0.0000 0.2548
```

(11)
The following is a DFT calculation (PBE) of Sr4Y3ErSe8 after structural relaxation.

POSCAR file:
```
Sr4Y3ErSe8
1.0
4.2005 2.4252 7.0479
-4.2005 2.4252 7.0479
0.0000 -4.8504 7.0479
Sr Y Er Se
4 3 1 8
Direct
0.0000 0.0000 0.0000
0.0000 0.5000 0.5000
0.5000 0.0000 0.5000
0.5000 0.5000 0.0000
0.0000 0.0000 0.5000
0.0000 0.5000 0.0000
0.5000 0.0000 0.0000
0.5000 0.5000 0.5000
0.2438 0.2438 0.2438
0.2456 0.7421 0.7421
0.2579 0.2579 0.7544
0.2579 0.7544 0.2579
0.7421 0.2456 0.7421
0.7421 0.7421 0.2456
0.7544 0.2579 0.2579
0.7562 0.7562 0.7562
```

(12)
The following is a DFT calculation (PBE) of Sr3Er3ZnSe8 after structural relaxation.

POSCAR file:
```
Sr3Er3ZnSe8
1.0
4.1311 2.3851 7.0886
-4.1311 2.3851 7.0886
0.0000 -4.7702 7.0886
Sr Er Zn Se
3 3 1 8
Direct
0.0000 0.5000 0.5000
0.5000 0.0000 0.5000
0.5000 0.5000 0.0000
0.0000 0.0000 0.5000
0.0000 0.5000 0.0000
0.5000 0.0000 0.0000
0.5000 0.5000 0.5000
0.2426 0.2426 0.2426
0.2455 0.7357 0.7357
0.2643 0.2643 0.7545
0.2643 0.7545 0.2643
0.7357 0.2455 0.7357
0.7357 0.7357 0.2455
0.7545 0.2643 0.2643
0.7574 0.7574 0.7574
```

These records have total magnetization values of 0.00; 0.00; 0.00; 0.00; 0.00; 0.00; 0.03; 0.00; 0.00; 0.00; 0.00; 0.00 μB/cell, in the order they appear.
These records have uncorrected energy values of -5.09; -4.88; -5.49; -5.16; -5.57; -5.56; -4.81; -4.51; -5.37; -5.39; -5.54; -4.89 eV/atom, in the order they appear.